Material: CsTlNi2
Method: DFT, GGA-PBE
State: relaxed

abc: 5.0384 5.0384 5.0384
angles: 60.00 60.00 60.00
Last column: nearest neighbours and their distance in Å.
Positions (direct):
1 Ni 0.2500 0.2500 0.2500  4 Tl 3.09, 4 Cs 3.09
2 Tl 0.5000 0.5000 0.5000  8 Ni 3.09
3 Cs 0.0000 0.0000 0.0000  8 Ni 3.09
4 Ni 0.7500 0.7500 0.7500  4 Tl 3.09, 4 Cs 3.09

Summary:
The calculation puts the energy above the lowest structure with this stoichiometry at 112 meV/atom. Its total energy is -2.72 eV per atom. As for the density: 8.3 g cm⁻³.